Here is crystalline CoCN2O at its relaxed geometry from Alexandria via LeMat-Bulk. Energies are from PBE with a Hubbard U.

Summary:
**Crystal system**: tetragonal
**Calculated total energy**: -4.725 eV/atom
**Size of the total moment**: 0.0 μB/f.u.

Cell: 3.5133 3.5133 3.8625 Å, 90.00 90.00 90.00°
Space group P4/mmm (No. 123)
Inequivalent atoms, fractional coordinates:
Co: 0.0000 0.0000 0.0000 x1
C: 0.5000 0.5000 0.5000 x1
N: 0.0000 0.5000 0.0000 x2
O: 0.0000 0.0000 0.5000 x1